(1)
ErMgGe after structural relaxation. Source: Alexandria, functional PBE.

a = 4.263 Å, b = 5.698 Å, c = 6.395 Å
α = 72.43°, β = 70.53°, γ = 68.03°
Fractional coordinates of all 6 atoms:
1 Mg 0.830 0.762 0.578
2 Mg 0.170 0.238 0.422
3 Er 0.430 0.308 0.831
4 Er 0.570 0.692 0.169
5 Ge 0.152 0.872 0.824
6 Ge 0.848 0.128 0.176

Results
Total magnetic moment (μB/cell): 0.000
Mass density (g cm⁻³): 6.60
Energy (eV per cell): -24.82
E_form (eV per formula unit): -1.6
Density of states at the Fermi level (states/eV/atom): 0.428

=====

(2)
ErMgGe after structural relaxation. Source: Alexandria, functional PBE.

a = 4.665 Å, b = 4.665 Å, c = 4.665 Å
α = 60.00°, β = 60.00°, γ = 60.00°
Fractional coordinates of all 3 atoms:
1 Ge 0.250 0.250 0.250
2 Er 0.000 0.000 0.000
3 Mg 0.500 0.500 0.500

Results
Total magnetic moment (μB/cell): 0.000
Mass density (g cm⁻³): 6.11
Energy (eV per cell): -12.12
E_form (eV per formula unit): -1.3
Density of states at the Fermi level (states/eV/atom): 0.496

=====

(3)
Er4MgGe4 after structural relaxation. Source: Alexandria, functional PBE.

a = 7.134 Å, b = 7.684 Å, c = 14.561 Å
α = 90.00°, β = 90.00°, γ = 90.00°
Fractional coordinates of all 36 atoms:
1 Er 0.168 0.677 0.127
2 Er 0.509 0.318 0.406
3 Er 0.168 0.677 0.373
4 Er 0.668 0.823 0.127
5 Er 0.991 0.818 0.594
6 Er 0.668 0.823 0.373
7 Er 0.832 0.323 0.627
8 Er 0.332 0.177 0.627
9 Er 0.332 0.177 0.873
10 Er 0.832 0.323 0.873
11 Er 0.009 0.182 0.406
12 Er 0.009 0.182 0.094
13 Er 0.491 0.682 0.594
14 Er 0.491 0.682 0.906
15 Er 0.991 0.818 0.906
16 Er 0.509 0.318 0.094
17 Mg 0.663 0.981 0.750
18 Mg 0.163 0.519 0.750
19 Mg 0.337 0.019 0.250
20 Mg 0.837 0.481 0.250
21 Ge 0.673 0.035 0.536
22 Ge 0.673 0.035 0.964
23 Ge 0.173 0.465 0.964
24 Ge 0.290 0.860 0.750
25 Ge 0.210 0.360 0.250
26 Ge 0.710 0.140 0.250
27 Ge 0.327 0.965 0.464
28 Ge 0.173 0.465 0.536
29 Ge 0.327 0.965 0.036
30 Ge 0.525 0.411 0.750
31 Ge 0.025 0.089 0.750
32 Ge 0.827 0.535 0.464
33 Ge 0.475 0.589 0.250
34 Ge 0.790 0.640 0.750
35 Ge 0.827 0.535 0.036
36 Ge 0.975 0.911 0.250

Results
Total magnetic moment (μB/cell): 0.000
Mass density (g cm⁻³): 8.19
Energy (eV per cell): -182.08
E_form (eV per formula unit): -7.2
Density of states at the Fermi level (states/eV/atom): 0.498